# 1
DFT (GGA-PBE) results for crystalline LaHoGeS at its relaxed geometry.

## Properties
As for the energy relative to the elements, uncorrected: -5.798 eV/f.u.

Structure (POSCAR):
```
LaHoGeS
1.0
-0.405 -1.687 -3.794
3.393 -0.978 -2.221
1.012 -7.111 0.760
La Ho Ge S
1 1 1 1
direct
0.694 0.694 0.918 La
0.194 0.194 0.419 Ho
0.939 0.939 0.182 Ge
0.449 0.449 0.652 S
```

=====

# 2
DFT (GGA-PBE) results for crystalline LaHoGeSe at its relaxed geometry.

## Properties
As for the energy relative to the elements, uncorrected: -5.599 eV/f.u.

Structure (POSCAR):
```
LaHoGeSe
1.0
4.252 0.000 0.000
2.126 3.682 0.000
2.126 1.227 6.965
La Ho Ge Se
1 1 1 1
direct
0.690 0.690 0.930 La
0.198 0.198 0.407 Ho
0.939 0.939 0.182 Ge
0.449 0.449 0.652 Se
```

=====

# 3
DFT (GGA-PBE) results for crystalline LaHoZn2Ge2 at its relaxed geometry.

## Properties
As for the formation energy: -0.66 eV per atom.

Structure (POSCAR):
```
LaHoZn2Ge2
1.0
-3.326 2.502 -0.770
-0.573 -4.144 0.642
-0.858 1.395 8.235
La Ho Zn Ge
1 1 2 2
direct
0.000 0.000 0.000 La
0.000 0.000 0.500 Ho
0.667 0.333 0.262 Zn
0.333 0.667 0.738 Zn
0.667 0.333 0.735 Ge
0.333 0.667 0.265 Ge
```

=====

# 4
DFT (GGA-PBE) results for crystalline LaHo2Zn2Ge2 at its relaxed geometry.

## Properties
As for the formation energy: -0.46 eV per atom.

Structure (POSCAR):
```
LaHo2Zn2Ge2
1.0
4.173 0.000 0.000
2.086 3.614 0.000
2.086 1.205 11.321
La Ho Zn Ge
1 2 2 2
direct
0.000 0.000 0.000 La
0.125 0.125 0.625 Ho
0.875 0.875 0.375 Ho
0.605 0.605 0.186 Zn
0.395 0.395 0.814 Zn
0.737 0.737 0.788 Ge
0.263 0.263 0.212 Ge
```

=====

# 5
DFT (GGA-PBE) results for crystalline LaHoZnGe at its relaxed geometry.

## Properties
As for the formation energy: -0.53 eV per atom.

Structure (POSCAR):
```
LaHoZnGe
1.0
5.150 0.000 0.000
2.575 4.460 0.000
2.575 1.487 4.205
Zn Ge Ho La
1 1 1 1
direct
0.750 0.750 0.750 Zn
0.250 0.250 0.250 Ge
0.000 0.000 0.000 Ho
0.500 0.500 0.500 La
```

=====

# 6
DFT (GGA-PBE) results for crystalline LiHoGe2 at its relaxed geometry.

## Properties
As for the formation energy: -0.47 eV per atom. The value obtained for the polymorph energy (0 for the lowest one) is 136 meV per atom.

Structure (POSCAR):
```
LiHoGe2
1.0
4.207 0.000 0.000
2.104 3.643 0.000
2.104 1.214 4.970
Ge Ho Li
2 1 1
direct
0.781 0.781 0.658 Ge
0.219 0.219 0.342 Ge
0.000 0.000 0.000 Ho
0.500 0.500 0.500 Li
```

=====

Magnetization for the records above, in order: 0.0; 0.0; 0.0; 0.0; 0.0; 0.0 μB per cell